SnAs2F | GGA-PBE | optimized geometry

Computed properties:
Density ... 5.8 g/cm³
Relative energy among the computed polymorphs ... 0 meV/atom
Formation energy (no corrections) ... -0.534 eV per atom
Calculated total energy ... -4.33 eV per atom

a b c (Å): 3.780 3.780 11.877
angles (deg): 80.84 80.84 90.00
Sites, in units of the cell vectors:
As (0.588, 0.125, 0.250)
As (0.375, 0.412, 0.750)
Sn (0.000, 0.000, 0.000)
As (0.162, 0.625, 0.250)
As (0.875, 0.838, 0.750)
Sn (0.750, 0.250, 0.500)
F (0.250, 0.750, 0.500)
F (0.500, 0.500, 0.000)